The following is a GGA+U calculation of an optimized crystal structure of Mn3InF, from the Alexandria database.

Summary:
Space-group type: Pm-3m
Excess energy over the best structure of this formula in the dataset in meV per atom: 0
Density in g/cm3: 5.150
Energy in eV/atom: -5.549
Calculated volume in Å³/cell: 96.3
Magnetization in μB/f.u.: 14.365

Cell: 4.5833 4.5833 4.5833 Å, 90.00 90.00 90.00°
With the nearest neighbours (Å) after each atom.
Element x y z (fractional)
1 F 0.0000 0.0000 0.0000  6 Mn 2.29
2 Mn 0.0000 0.5000 0.0000  2 F 2.29
3 In 0.5000 0.5000 0.5000  12 Mn 3.24
4 Mn 0.0000 0.0000 0.5000  2 F 2.29
5 Mn 0.5000 0.0000 0.0000  2 F 2.29